First-principles (PBE) data for an optimized crystal structure of La8GaGe3I4, as listed in Alexandria via LeMat-Bulk.

a = 9.286 Å, b = 9.286 Å, c = 9.286 Å
α = 57.84°, β = 57.84°, γ = 57.84°
Fractional positions:
La  0.235  0.235  0.235
La  0.235  0.736  0.736
La  0.264  0.264  0.765
La  0.264  0.765  0.264
La  0.736  0.235  0.736
La  0.736  0.736  0.235
La  0.765  0.264  0.264
La  0.765  0.765  0.765
Ga  0.500  0.500  0.500
Ge  0.000  0.000  0.500
Ge  0.000  0.500  0.000
Ge  0.500  0.000  0.000
I  0.000  0.000  0.000
I  0.000  0.500  0.500
I  0.500  0.000  0.500
I  0.500  0.500  0.000

Formation energy without anion corrections: -1.03 eV per atom
Magnetization: 0.0 μB/f.u.

First-principles (PBE) data for an optimized crystal structure of La6Ga2GeI3, as listed in Alexandria via LeMat-Bulk.

a = 7.835 Å, b = 7.835 Å, c = 8.038 Å
α = 99.34°, β = 99.34°, γ = 120.00°
Fractional positions:
La  0.070  0.402  0.211
La  0.261  0.261  0.789
La  0.402  0.070  0.211
La  0.598  0.930  0.789
La  0.739  0.739  0.211
La  0.930  0.598  0.789
Ga  0.333  0.667  0.000
Ga  0.667  0.333  0.000
Ge  0.000  0.000  0.000
I  0.166  0.834  0.500
I  0.500  0.500  0.500
I  0.834  0.166  0.500

Formation energy without anion corrections: -0.91 eV per atom
Magnetization: 0.0 μB/f.u.

First-principles (PBE) data for an optimized crystal structure of La6GaGe2I3, as listed in Alexandria via LeMat-Bulk.

a = 7.798 Å, b = 7.798 Å, c = 8.094 Å
α = 99.23°, β = 99.23°, γ = 120.02°
Fractional positions:
La  0.096  0.431  0.792
La  0.235  0.235  0.208
La  0.431  0.096  0.792
La  0.569  0.904  0.208
La  0.765  0.765  0.792
La  0.904  0.569  0.208
Ga  0.500  0.500  0.000
Ge  0.167  0.833  0.000
Ge  0.833  0.167  0.000
I  0.000  0.000  0.500
I  0.333  0.667  0.500
I  0.667  0.333  0.500

Formation energy without anion corrections: -1.01 eV per atom
Magnetization: 0.0 μB/f.u.

First-principles (PBE) data for an optimized crystal structure of La8Ga3GeI4, as listed in Alexandria via LeMat-Bulk.

a = 9.229 Å, b = 9.229 Å, c = 9.229 Å
α = 58.63°, β = 58.63°, γ = 58.63°
Fractional positions:
La  0.238  0.238  0.238
La  0.239  0.736  0.736
La  0.264  0.264  0.761
La  0.264  0.761  0.264
La  0.736  0.239  0.736
La  0.736  0.736  0.239
La  0.761  0.264  0.264
La  0.762  0.762  0.762
Ga  0.000  0.000  0.500
Ga  0.000  0.500  0.000
Ga  0.500  0.000  0.000
Ge  0.500  0.500  0.500
I  0.000  0.000  0.000
I  0.000  0.500  0.500
I  0.500  0.000  0.500
I  0.500  0.500  0.000

Formation energy without anion corrections: -0.89 eV per atom
Magnetization: 0.0 μB/f.u.

First-principles (PBE) data for an optimized crystal structure of GaGeI2N, as listed in Alexandria via LeMat-Bulk.

a = 5.880 Å, b = 5.880 Å, c = 3.624 Å
α = 90.00°, β = 90.00°, γ = 90.00°
Fractional positions:
Ga  0.000  0.000  0.000
Ge  0.500  0.500  0.500
I  0.000  0.500  0.000
I  0.500  0.000  0.000
N  0.000  0.000  0.500

Formation energy without anion corrections: 0.58 eV per atom
Magnetization: 0.5 μB/f.u.

First-principles (PBE) data for an optimized crystal structure of GaGeI2N, as listed in Alexandria via LeMat-Bulk.

a = 6.204 Å, b = 6.204 Å, c = 3.542 Å
α = 90.00°, β = 90.00°, γ = 90.00°
Fractional positions:
Ga  0.000  0.000  0.000
Ge  0.500  0.500  0.500
I  0.000  0.500  0.500
I  0.500  0.000  0.500
N  0.500  0.500  0.000

Formation energy without anion corrections: 0.40 eV per atom
Magnetization: 0.0 μB/f.u.

> Which value of formation energy without anion corrections does entry 2 give?

-0.91 eV per atom

> Among the records above, which one has the highest magnetization?

number 5